Here is an optimized crystal structure of PuHPt from Alexandria via LeMat-Bulk. Energies are from PBE-GGA.

Cell lengths 4.487, 4.487, 4.487 Å; angles 127.54, 127.54, 77.38 degrees
Fractional coordinates of all 3 atoms:
Pu (0.000, 0.000, 0.000)
H (0.329, 0.329, 0.000)
Pt (0.571, 0.571, 0.000)

**SG**: No. 107
**Total energy**: -24.6 eV per cell
**Total magnetic moment**: 5.278 μB/cell

Here is an optimized crystal structure of Pu2H3Pt2 from Alexandria via LeMat-Bulk. Energies are from PBE-GGA.

Cell lengths 6.262, 6.262, 6.262 Å; angles 115.25, 113.58, 99.99 degrees
Fractional coordinates of all 14 atoms:
Pu (0.000, 0.031, 0.002)
Pu (0.500, 0.502, 0.031)
Pu (0.529, 0.998, 0.498)
Pu (0.971, 0.469, 0.469)
H (0.002, 0.252, 0.750)
H (0.229, 0.750, 0.979)
H (0.250, 0.529, 0.279)
H (0.271, 0.250, 0.521)
H (0.498, 0.248, 0.250)
H (0.750, 0.971, 0.221)
Pt (0.034, 0.971, 0.493)
Pt (0.466, 0.959, 0.938)
Pt (0.521, 0.529, 0.562)
Pt (0.979, 0.541, 0.007)

**SG**: No. 24
**Total energy**: -107.8 eV per cell
**Total magnetic moment**: 0.000 μB/cell

Here is an optimized crystal structure of Pu2HPt from Alexandria via LeMat-Bulk. Energies are from PBE-GGA.

Cell lengths 5.934, 5.934, 5.934 Å; angles 143.36, 143.36, 52.79 degrees
Fractional coordinates of all 4 atoms:
Pu (0.144, 0.144, 0.000)
Pu (0.856, 0.856, 0.000)
H (0.750, 0.250, 0.500)
Pt (0.500, 0.500, 0.000)

**SG**: No. 119
**Total energy**: -39.8 eV per cell
**Total magnetic moment**: 10.871 μB/cell